The following is a PBE calculation of crystalline DySc3Tl at its relaxed geometry, from the Alexandria database.

The structure in POSCAR format:
```
DySc3Tl
1.0
6.944 -6.165 0.000
6.944 6.165 0.000
-1.566 0.000 6.013
Dy Sc Tl
4 12 4
direct
0.034 0.176 0.462 Dy
0.176 0.034 0.962 Dy
0.824 0.966 0.038 Dy
0.966 0.824 0.538 Dy
0.088 0.704 0.038 Sc
0.123 0.492 0.357 Sc
0.226 0.378 0.856 Sc
0.296 0.912 0.462 Sc
0.378 0.226 0.356 Sc
0.492 0.123 0.857 Sc
0.508 0.877 0.143 Sc
0.622 0.774 0.644 Sc
0.704 0.088 0.538 Sc
0.774 0.622 0.144 Sc
0.877 0.508 0.643 Sc
0.912 0.296 0.962 Sc
0.319 0.681 0.750 Tl
0.419 0.581 0.250 Tl
0.581 0.419 0.750 Tl
0.681 0.319 0.250 Tl
```

Summary:
The calculation puts the volume at 25.7 Å³/atom. The energy above the most stable polymorph in this dataset is 0.0433 eV per atom. The formation energy comes out at -0.026 eV per atom. Its space group is No. 15.

=====

The following is a PBE calculation of crystalline AcLa8Er2 at its relaxed geometry, from the Alexandria database.

The structure in POSCAR format:
```
AcLa8Er2
1.0
9.446 -2.643 0.000
9.446 2.643 0.000
-2.236 0.000 8.018
Ac La Er
1 8 2
direct
0.000 0.000 0.000 Ac
0.094 0.094 0.460 La
0.184 0.184 0.913 La
0.359 0.359 0.806 La
0.452 0.452 0.276 La
0.548 0.548 0.724 La
0.641 0.641 0.194 La
0.816 0.816 0.087 La
0.906 0.906 0.540 La
0.272 0.272 0.365 Er
0.728 0.728 0.635 Er
```

Summary:
The calculation puts the volume at 36.4 Å³/atom. The formation energy comes out at 0.025 eV per atom. Its space group is No. 12.

=====

The following is a PBE calculation of crystalline Tm2ScAu3 at its relaxed geometry, from the Alexandria database.

The structure in POSCAR format:
```
Tm2ScAu3
1.0
3.484 0.000 0.000
0.000 3.484 0.000
0.000 0.000 10.615
Tm Sc Au
2 1 3
direct
0.000 0.000 0.171 Tm
0.000 0.000 0.829 Tm
0.000 0.000 0.500 Sc
0.500 0.500 0.000 Au
0.500 0.500 0.345 Au
0.500 0.500 0.655 Au
```

Summary:
The calculation puts the volume at 21.5 Å³/atom. The energy above the most stable polymorph in this dataset is 0.0000 eV per atom. The formation energy comes out at -0.861 eV per atom. Its space group is No. 123.

=====

The following is a PBE calculation of crystalline ScWBr2 at its relaxed geometry, from the Alexandria database.

The structure in POSCAR format:
```
ScWBr2
1.0
3.232 0.000 0.000
-1.616 2.799 0.000
0.000 0.000 31.109
Sc W Br
3 3 6
direct
0.000 0.000 0.000 Sc
0.333 0.667 0.667 Sc
0.667 0.333 0.333 Sc
0.000 0.000 0.500 W
0.333 0.667 0.167 W
0.667 0.333 0.833 W
0.000 0.000 0.273 Br
0.000 0.000 0.727 Br
0.333 0.667 0.394 Br
0.333 0.667 0.939 Br
0.667 0.333 0.061 Br
0.667 0.333 0.606 Br
```

Summary:
The calculation puts the volume at 23.5 Å³/atom. The energy above the most stable polymorph in this dataset is 0.6822 eV per atom. The energy relative to the elements, uncorrected is 351.3 meV/atom. Its space group is No. 166.

=====

The following is a PBE calculation of crystalline YTa3Os at its relaxed geometry, from the Alexandria database.

The structure in POSCAR format:
```
YTa3Os
1.0
4.767 0.000 0.000
0.000 4.767 0.000
0.000 0.000 4.767
Y Ta Os
1 3 1
direct
0.000 0.000 0.000 Y
0.000 0.000 0.500 Ta
0.000 0.500 0.000 Ta
0.500 0.000 0.000 Ta
0.500 0.500 0.500 Os
```

Summary:
The calculation puts the volume at 21.7 Å³/atom. The energy above the most stable polymorph in this dataset is 2.0173 eV per atom. The formation energy comes out at 2.799 eV per atom. Its space group is No. 221.

=====

The following is a PBE calculation of crystalline Pu2TeI at its relaxed geometry, from the Alexandria database.

The structure in POSCAR format:
```
Pu2TeI
1.0
7.669 0.000 0.000
0.000 7.669 0.000
0.000 0.000 7.669
Pu Te I
8 4 4
direct
0.250 0.250 0.250 Pu
0.250 0.250 0.750 Pu
0.250 0.750 0.250 Pu
0.250 0.750 0.750 Pu
0.750 0.250 0.250 Pu
0.750 0.250 0.750 Pu
0.750 0.750 0.250 Pu
0.750 0.750 0.750 Pu
0.000 0.000 0.000 Te
0.000 0.500 0.500 Te
0.500 0.000 0.500 Te
0.500 0.500 0.000 Te
0.000 0.000 0.500 I
0.000 0.500 0.000 I
0.500 0.000 0.000 I
0.500 0.500 0.500 I
```

Summary:
The calculation puts the volume at 28.2 Å³/atom. The energy above the most stable polymorph in this dataset is 0.0215 eV per atom. The energy relative to the elements, uncorrected is -786.2 meV/atom. Its space group is No. 225.